No. 1
A plane-wave DFT calculation with GGA-PBE was carried out for an optimized crystal structure of Be2PbF.

As for the density: 7.00 g/cm3. The value obtained for the energy relative to the elements, uncorrected is -0.3535 eV per atom. The value obtained for the energy relative to the lowest polymorph listed for this composition is 0.0 kJ per mole of atoms. The crystal system is tetragonal. For the density of states at the Fermi level, the calculation gives 0.16 states/eV per atom.

The space group is I4_1/amd (No. 141, origin choice 2) and the conventional cell measures 4.505, 4.505 and 11.415 Å, with angles of 90.00, 90.00 and 90.00 degrees. The distinct sites, in fractional coordinates, are Be at (0.000, 0.000, 0.000), Pb at (0.000, 0.250, 0.375) and F at (0.000, 0.250, 0.875).



No. 2
A plane-wave DFT calculation with GGA-PBE was carried out for an optimized crystal structure of BePbF2.

As for the density: 7.44 g/cm3. The value obtained for the energy relative to the elements, uncorrected is -1.9490 eV per atom. The value obtained for the energy relative to the lowest polymorph listed for this composition is 0.0 kJ per mole of atoms. The crystal system is cubic. For the density of states at the Fermi level, the calculation gives 0.49 states/eV per atom.

The space group is Fd-3m (No. 227, origin choice 2) and the conventional cell measures 7.686, 7.686 and 7.686 Å, with angles of 90.00, 90.00 and 90.00 degrees. The distinct sites, in fractional coordinates, are Be at (0.125, 0.125, 0.125), Pb at (0.125, 0.125, 0.625) and F at (0.000, 0.000, 0.000).



No. 3
A plane-wave DFT calculation with GGA-PBE was carried out for an optimized crystal structure of BePbF4.

As for the density: 5.43 g/cm3. The value obtained for the energy relative to the elements, uncorrected is -2.8401 eV per atom. The value obtained for the energy relative to the lowest polymorph listed for this composition is 0.2 kJ per mole of atoms. The crystal system is tetragonal. For the density of states at the Fermi level, the calculation gives 0.00 states/eV per atom.

The space group is I4_1/amd (No. 141, origin choice 2) and the conventional cell measures 7.424, 7.424 and 6.490 Å, with angles of 90.00, 90.00 and 90.00 degrees. The distinct sites, in fractional coordinates, are Be at (0.000, 0.250, 0.375), Pb at (0.000, 0.250, 0.875) and F at (0.000, 0.082, 0.226).



No. 4
A plane-wave DFT calculation with GGA-PBE was carried out for an optimized crystal structure of Be2Pb2F.

As for the density: 7.37 g/cm3. The value obtained for the energy relative to the elements, uncorrected is -0.2340 eV per atom. The value obtained for the energy relative to the lowest polymorph listed for this composition is 0.0 kJ per mole of atoms. The crystal system is tetragonal. For the density of states at the Fermi level, the calculation gives 0.41 states/eV per atom.

The space group is I4/mmm (No. 139) and the conventional cell measures 5.467, 5.467 and 6.810 Å, with angles of 90.00, 90.00 and 90.00 degrees. The distinct sites, in fractional coordinates, are Be at (0.000, 0.000, 0.227), Pb at (0.000, 0.500, 0.250) and F at (0.000, 0.000, 0.000).



No. 5
A plane-wave DFT calculation with GGA-PBE was carried out for an optimized crystal structure of BePb2F6.

As for the density: 7.71 g/cm3. The value obtained for the energy relative to the elements, uncorrected is -2.5379 eV per atom. The value obtained for the energy relative to the lowest polymorph listed for this composition is 9.2 kJ per mole of atoms. The crystal system is cubic. For the density of states at the Fermi level, the calculation gives 0.00 states/eV per atom.

The space group is Fm-3m (No. 225) and the conventional cell measures 7.735, 7.735 and 7.735 Å, with angles of 90.00, 90.00 and 90.00 degrees. The distinct sites, in fractional coordinates, are Be at (0.000, 0.000, 0.000), Pb at (0.250, 0.250, 0.250) and F at (0.000, 0.000, 0.228).



No. 6
A plane-wave DFT calculation with GGA-PBE was carried out for an optimized crystal structure of BePbF2.

As for the density: 5.71 g/cm3. The value obtained for the energy relative to the elements, uncorrected is -1.8132 eV per atom. The value obtained for the energy relative to the lowest polymorph listed for this composition is 13.1 kJ per mole of atoms. The crystal system is trigonal. For the density of states at the Fermi level, the calculation gives 0.33 states/eV per atom.

The space group is R-3m (No. 166, hexagonal axes) and the conventional cell measures 2.9416, 2.9416 and 29.5742 Å, with angles of 90.00, 90.00 and 120.00 degrees. The distinct sites, in fractional coordinates, are Be at (0.0000, 0.0000, 0.0000), Pb at (0.0000, 0.0000, 0.5000) and F at (0.0000, 0.0000, 0.3614).



No. 7
A plane-wave DFT calculation with GGA-PBE was carried out for an optimized crystal structure of Be2PbF.

As for the density: 6.89 g/cm3. The value obtained for the energy relative to the elements, uncorrected is 0.2708 eV per atom. The value obtained for the energy relative to the lowest polymorph listed for this composition is 60.2 kJ per mole of atoms. The crystal system is cubic. For the density of states at the Fermi level, the calculation gives 0.97 states/eV per atom.

The space group is Fm-3m (No. 225) and the conventional cell measures 6.175, 6.175 and 6.175 Å, with angles of 90.00, 90.00 and 90.00 degrees. The distinct sites, in fractional coordinates, are Be at (0.250, 0.250, 0.250), Pb at (0.000, 0.000, 0.000) and F at (0.000, 0.000, 0.500).



No. 8
A plane-wave DFT calculation with GGA-PBE was carried out for an optimized crystal structure of BePb2F6.

As for the density: 6.06 g/cm3. The value obtained for the energy relative to the elements, uncorrected is -2.6337 eV per atom. The value obtained for the energy relative to the lowest polymorph listed for this composition is 0.0 kJ per mole of atoms. The crystal system is monoclinic. For the density of states at the Fermi level, the calculation gives 0.00 states/eV per atom.

The space group is Pc (No. 7) and the conventional cell measures 5.494, 7.105 and 8.919 Å, with angles of 90.00, 122.25 and 90.00 degrees. The distinct sites, in fractional coordinates, are Be at (0.000, 0.156, 0.000), Pb at (0.295, 0.167, 0.768), Pb at (0.716, 0.381, 0.270), F at (0.028, 0.237, 0.169), F at (0.156, 0.384, 0.545), F at (0.315, 0.093, 0.056), F at (0.530, 0.436, 0.933), F at (0.799, 0.023, 0.441) and F at (0.885, 0.280, 0.826).